Material: Mn3O5F
Method: DFT, GGA+U
State: optimized geometry

Geometry as CIF:
```
data_Mn3O5F
_cell_length_a 4.521
_cell_length_b 5.453
_cell_length_c 7.575
_cell_angle_alpha 86.14
_cell_angle_beta 88.77
_cell_angle_gamma 88.72
_space_group_name_H-M_alt 'P 1'
_space_group_IT_number 1
_space_group_name_Hall 'P 1'
loop_
_atom_site_label
_atom_site_type_symbol
_atom_site_fract_x
_atom_site_fract_y
_atom_site_fract_z
_atom_site_occupancy
Mn1 Mn 0.483 0.322 0.659 1
Mn2 Mn 0.517 0.678 0.341 1
Mn3 Mn 0.500 0.000 0.000 1
Mn4 Mn 0.987 0.156 0.331 1
Mn5 Mn 0.000 0.500 0.000 1
Mn6 Mn 0.013 0.844 0.669 1
O1 O 0.801 0.206 0.106 1
O2 O 0.799 0.877 0.442 1
O3 O 0.702 0.043 0.770 1
O4 O 0.705 0.377 0.439 1
O5 O 0.694 0.706 0.106 1
O6 O 0.298 0.957 0.230 1
O7 O 0.306 0.294 0.894 1
O8 O 0.295 0.623 0.561 1
O9 O 0.199 0.794 0.894 1
O10 O 0.201 0.123 0.558 1
F1 F 0.786 0.544 0.755 1
F2 F 0.214 0.456 0.245 1
```

Values from the calculation:
- SG: P-1
- ΔE to the lowest computed polymorph: 10 meV per atom
- E_tot: -6.95 eV per atom